First-principles (GGA+U) data for a relaxed structure of NiIF3, as listed in Alexandria via LeMat-Bulk. Values from VASP.

Computed properties:
- uncorrected energy (eV/atom) = -3.1566
- size of the total moment (μB/f.u.) = 4.0
- offset from the most stable computed form (eV/atom) = 0.0000
- mass density (g cm⁻³) = 5.5

Cell and atoms, written as Quantum ESPRESSO input:
```
&SYSTEM
  ibrav = 0, nat = 5, ntyp = 3
/
ATOMIC_SPECIES
Ni 58.69 Ni.upf
I 126.90 I.upf
F 19.00 F.upf
ATOMIC_POSITIONS angstrom
Ni 0.000 0.000 0.000
I 2.094 2.094 2.094
F 0.000 0.000 2.094
F 0.000 2.094 0.000
F 2.094 0.000 0.000
CELL_PARAMETERS angstrom
4.188 0.000 0.000
0.000 4.188 0.000
0.000 0.000 4.188
```